# 1
PBE YMg2Si, optimized geometry; crystal system = tetragonal; formation energy (no corrections) = -0.318 eV per atom; DFT total energy = -16.35 eV/cell
1.0
4.273 0.000 0.000
0.000 4.273 0.000
0.000 0.000 4.669
Mg Si Y
2 1 1
direct
0.500 0.500 0.000
0.000 0.000 0.000
0.500 0.000 0.500
0.000 0.500 0.500


# 2
PBE YMg14Si, optimized geometry; crystal system = orthorhombic; formation energy (no corrections) = -0.023 eV per atom; DFT total energy = -34.58 eV/cell
1.0
-4.955 3.446 -2.338
4.002 -3.409 -3.777
-6.170 -8.255 0.912
Mg Si Y
14 1 1
direct
0.170 0.329 0.751
0.326 0.165 0.000
0.667 0.333 0.756
0.835 0.674 0.000
0.831 0.169 0.000
0.328 0.188 0.500
0.328 0.672 0.000
0.812 0.672 0.500
0.170 0.329 0.249
0.671 0.830 0.751
0.179 0.821 0.728
0.667 0.333 0.244
0.671 0.830 0.249
0.179 0.821 0.272
0.344 0.656 0.500
0.822 0.178 0.500


# 3
PBE Y2Mg2Si, optimized geometry; crystal system = tetragonal; formation energy (no corrections) = -0.118 eV per atom; DFT total energy = -44.26 eV/cell
1.0
-2.837 -6.376 -1.091
1.334 -1.742 6.714
-4.404 1.733 1.325
Mg Y Si
4 4 2
direct
0.361 0.861 0.000
0.139 0.361 0.000
0.639 0.139 0.000
0.861 0.639 0.000
0.169 0.669 0.500
0.669 0.831 0.500
0.831 0.331 0.500
0.331 0.169 0.500
0.000 0.000 0.000
0.500 0.500 0.000


# 4
PBE YMg2Si, optimized geometry; crystal system = monoclinic; formation energy (no corrections) = -0.244 eV per atom; DFT total energy = -16.05 eV/cell
1.0
-2.152 0.936 3.028
-3.264 -2.193 -1.642
0.187 -5.878 1.951
Y Mg Si
1 2 1
direct
0.500 0.732 0.660
0.500 0.446 0.235
0.000 0.044 0.040
0.000 0.278 0.566


# 5
PBE YMg14Si, optimized geometry; crystal system = hexagonal; formation energy (no corrections) = 0.013 eV per atom; DFT total energy = -34.01 eV/cell
1.0
0.434 4.279 -4.819
-4.055 1.069 4.913
7.344 4.883 4.998
Mg Si Y
14 1 1
direct
0.505 0.495 0.500
0.163 0.837 0.264
0.674 0.837 0.264
0.667 0.333 0.759
0.505 0.010 0.500
0.163 0.326 0.264
0.674 0.837 0.736
0.667 0.333 0.241
0.163 0.837 0.736
0.493 0.507 0.000
0.493 0.986 0.000
0.990 0.495 0.500
0.163 0.326 0.736
0.014 0.507 0.000
0.000 0.000 0.500
0.000 0.000 0.000


# 6
PBE YMg2Si, optimized geometry; crystal system = orthorhombic; formation energy (no corrections) = -0.143 eV per atom; DFT total energy = -15.65 eV/cell
1.0
3.246 0.000 0.000
0.000 3.974 0.000
0.000 0.000 6.863
Si Mg Y
1 2 1
direct
0.000 0.000 0.472
0.000 0.000 0.037
0.500 0.500 0.271
0.500 0.500 0.719


# 7
PBE Yb2MgSi2, optimized geometry; crystal system = tetragonal; formation energy (no corrections) = -0.532 eV per atom; DFT total energy = -36.30 eV/cell
1.0
-1.143 -2.542 -6.631
-1.593 -6.453 2.749
-4.118 1.134 0.275
Yb Si Mg
4 4 2
direct
0.176 0.324 0.500
0.824 0.676 0.500
0.676 0.176 0.500
0.324 0.824 0.500
0.117 0.617 0.000
0.617 0.883 0.000
0.383 0.117 0.000
0.883 0.383 0.000
0.500 0.500 0.000
0.000 0.000 0.000


# 8
PBE MgZn3Si, optimized geometry; crystal system = cubic; formation energy (no corrections) = 0.392 eV per atom; DFT total energy = -8.88 eV/cell
1.0
-1.005 -1.598 -4.420
-3.245 -3.034 1.835
-3.400 3.368 -0.445
Zn Mg Si
3 1 1
direct
0.000 0.500 0.000
0.500 0.000 0.000
0.000 0.000 0.500
0.500 0.500 0.500
0.000 0.000 0.000


# 9
PBE MgZnSi2, optimized geometry; crystal system = orthorhombic; formation energy (no corrections) = 0.150 eV per atom; DFT total energy = -13.12 eV/cell
1.0
4.598 0.000 0.000
0.000 2.692 -0.003
0.000 0.006 5.267
Mg Si Zn
1 2 1
direct
0.500 0.750 0.750
0.000 0.251 0.498
0.000 0.249 0.002
0.500 0.250 0.250


# 10
PBE MgZn3Si, optimized geometry; crystal system = cubic; formation energy (no corrections) = 0.955 eV per atom; DFT total energy = -6.06 eV/cell
1.0
-1.354 -0.557 4.689
-4.628 -0.813 -1.432
0.939 -4.813 -0.301
Si Zn Mg
1 3 1
direct
0.500 0.500 0.500
0.500 0.000 0.000
0.000 0.500 0.000
0.000 0.000 0.500
0.000 0.000 0.000


# 11
PBE MgZnSi2, optimized geometry; crystal system = cubic; formation energy (no corrections) = 0.323 eV per atom; DFT total energy = -12.42 eV/cell
1.0
0.000 3.243 3.243
3.243 0.000 3.243
3.243 3.243 0.000
Si Zn Mg
2 1 1
direct
0.750 0.750 0.750
0.250 0.250 0.250
0.500 0.500 0.500
0.000 0.000 0.000


# 12
PBE MgZnSi2, optimized geometry; crystal system = tetragonal; formation energy (no corrections) = 0.213 eV per atom; DFT total energy = -12.86 eV/cell
1.0
-4.730 -1.081 -1.462
-0.516 -4.659 -1.925
2.065 1.886 4.226
Si Zn Mg
2 1 1
direct
0.000 0.000 0.000
0.250 0.750 0.500
0.500 0.500 0.000
0.750 0.250 0.500


# 13
PBE MgZnSi2, optimized geometry; crystal system = monoclinic; formation energy (no corrections) = 0.194 eV per atom; DFT total energy = -12.94 eV/cell
1.0
-0.629 0.086 4.835
-1.470 -2.557 3.884
4.273 -1.901 1.505
Mg Si Zn
1 2 1
direct
0.250 0.250 0.250
0.500 0.500 0.527
0.000 0.000 0.973
0.750 0.750 0.750


# 14
PBE Mg3ZnSi, optimized geometry; crystal system = cubic; formation energy (no corrections) = 0.471 eV per atom; DFT total energy = -9.13 eV/cell
1.0
4.909 0.000 0.000
0.000 4.909 0.000
0.000 0.000 4.909
Zn Mg Si
1 3 1
direct
0.000 0.000 0.000
0.000 0.000 0.500
0.500 0.000 0.000
0.000 0.500 0.000
0.500 0.500 0.500


# 15
PBE MgZnSi2, optimized geometry; crystal system = tetragonal; formation energy (no corrections) = 0.177 eV per atom; DFT total energy = -13.01 eV/cell
1.0
-0.475 -3.829 -0.987
2.115 0.594 -3.321
3.418 -0.942 2.008
Si Mg Zn
2 1 1
direct
0.500 0.500 0.000
0.000 0.000 0.000
0.000 0.500 0.500
0.500 0.000 0.500


# 16
PBE MgZnSi3, optimized geometry; crystal system = cubic; formation energy (no corrections) = 0.811 eV per atom; DFT total energy = -15.08 eV/cell
1.0
4.713 0.000 0.000
0.000 4.713 0.000
0.000 0.000 4.713
Si Zn Mg
3 1 1
direct
0.000 0.000 0.500
0.500 0.000 0.000
0.000 0.500 0.000
0.000 0.000 0.000
0.500 0.500 0.500


# 17
PBE Mg2ZnSi2, optimized geometry; crystal system = tetragonal; formation energy (no corrections) = 0.220 eV per atom; DFT total energy = -28.41 eV/cell
1.0
8.250 0.000 0.000
0.000 8.250 0.000
0.000 0.000 2.781
Mg Zn Si
4 2 4
direct
0.861 0.639 0.000
0.639 0.139 0.000
0.361 0.861 0.000
0.139 0.361 0.000
0.000 0.000 0.000
0.500 0.500 0.000
0.158 0.658 0.500
0.842 0.342 0.500
0.658 0.842 0.500
0.342 0.158 0.500


# 18
PBE MgZnSi2, optimized geometry; crystal system = tetragonal; formation energy (no corrections) = 0.201 eV per atom; DFT total energy = -12.91 eV/cell
1.0
-3.400 1.531 3.456
-1.493 -3.631 3.231
4.493 1.731 -1.632
Zn Mg Si
1 1 2
direct
0.250 0.750 0.500
0.750 0.250 0.500
0.000 0.000 0.000
0.500 0.500 0.000


# 19
PBE MgZnSi2, optimized geometry; crystal system = tetragonal; formation energy (no corrections) = 0.265 eV per atom; DFT total energy = -12.66 eV/cell
1.0
2.900 0.000 0.000
0.000 2.900 0.000
0.000 0.000 7.838
Si Zn Mg
2 1 1
direct
0.000 0.000 0.009
0.000 0.000 0.491
0.500 0.500 0.250
0.500 0.500 0.750


# 20
PBE MgZn4Si, optimized geometry; crystal system = cubic; formation energy (no corrections) = 0.124 eV per atom; DFT total energy = -11.37 eV/cell
1.0
0.000 3.677 3.677
3.677 0.000 3.677
3.677 3.677 0.000
Zn Mg Si
4 1 1
direct
0.125 0.625 0.625
0.625 0.625 0.625
0.625 0.125 0.625
0.625 0.625 0.125
0.250 0.250 0.250
0.000 0.000 0.000